Density functional theory data (PBE) for a relaxed Sm2AlPd6 crystal.

Results
ΔH_f (0 K): -859.5 meV/atom
mass density: 9.54 g/cm3
VASP energy: -0.213 Ha/atom

Cell lengths 5.8150, 5.8150, 17.2346 Å; angles 90.00, 90.00, 120.00 degrees
Closest atoms and distances in Å follow each position.
Space group R-3m (No. 166, hexagonal axes)
One atom of each set of equivalent atoms:
Sm 0.0000 0.0000 0.2315 [6 per cell]  9 Pd 2.97-3.29
Al 0.0000 0.0000 0.5000 [3 per cell]  6 Pd 2.45
Pd 0.0092 0.5046 0.7323 [18 per cell]  1 Al 2.45

***

Density functional theory data (PBE) for a relaxed Sm2AlPd2 crystal.

Results
ΔH_f (0 K): -676.3 meV/atom
mass density: 7.48 g/cm3
VASP energy: -0.198 Ha/atom

Cell lengths 7.3709, 11.0990, 5.8659 Å; angles 90.00, 90.00, 90.00 degrees
Closest atoms and distances in Å follow each position.
Space group Ibam (No. 72)
One atom of each set of equivalent atoms:
Sm 0.1589 0.1513 0.0000 [8 per cell]  5 Pd 2.84-3.08
Al 0.0000 0.5000 0.2500 [4 per cell]  4 Pd 2.60
Pd 0.2487 0.3999 0.0000 [8 per cell]  2 Al 2.60, 2 Sm 2.84-2.87

***

Density functional theory data (PBE) for a relaxed SmAl3Pd3 crystal.

Results
ΔH_f (0 K): -396.6 meV/atom
mass density: 5.96 g/cm3
VASP energy: -0.180 Ha/atom

Cell lengths 6.7461, 6.7461, 6.7461 Å; angles 90.00, 90.00, 90.00 degrees
Closest atoms and distances in Å follow each position.
Space group Pm-3n (No. 223)
One atom of each set of equivalent atoms:
Sm 0.0000 0.0000 0.0000 [2 per cell]  12 Al 3.77, 12 Pd 3.77
Al 0.0000 0.2500 0.5000 [6 per cell]  4 Pd 2.39
Pd 0.0000 0.5000 0.2500 [6 per cell]  4 Al 2.39

***

What is the ΔH_f (0 K) in the second record?
-676.3 meV/atom

***

The highest mass density belongs to which entry?
Sm2AlPd6

***

Which of these has the highest ΔH_f (0 K)?
SmAl3Pd3

***

Number 3 is which compound?
SmAl3Pd3